Below is a relaxed ZnCuNO2 crystal, with properties calculated at the PBE level.

Summary:
The total energy comes out at -0.3051 Ry per atom. Its total magnetization is 1.687 μB per formula unit. Its crystal system is tetragonal.

Structure (POSCAR):
```
ZnCuNO2
1.0
3.872 0.000 0.000
0.000 3.872 0.000
0.000 0.000 3.616
Zn Cu N O
1 1 1 2
direct
0.000 0.000 0.000
0.500 0.500 0.500
0.500 0.500 0.000
0.000 0.500 0.500
0.500 0.000 0.500
```

=====

Below is a relaxed ZnCuNO2 crystal, with properties calculated at the PBE level.

Summary:
The total energy comes out at -0.2791 Ry per atom. Its total magnetization is 0.240 μB per formula unit. Its crystal system is tetragonal.

Structure (POSCAR):
```
ZnCuNO2
1.0
3.823 0.000 0.000
0.000 3.823 0.000
0.000 0.000 3.862
Zn Cu N O
1 1 1 2
direct
0.000 0.000 0.000
0.500 0.500 0.500
0.000 0.000 0.500
0.000 0.500 0.000
0.500 0.000 0.000
```

=====

Below is a relaxed ZnCuN2O crystal, with properties calculated at the PBE level.

Summary:
The total energy comes out at -0.2775 Ry per atom. Its total magnetization is 0.000 μB per formula unit. Its crystal system is tetragonal.

Structure (POSCAR):
```
ZnCuN2O
1.0
3.842 0.000 0.000
0.000 3.842 0.000
0.000 0.000 3.845
Zn Cu N O
1 1 2 1
direct
0.000 0.000 0.000
0.500 0.500 0.500
0.000 0.500 0.000
0.500 0.000 0.000
0.000 0.000 0.500
```

=====

Below is a relaxed ZnCuN2O crystal, with properties calculated at the PBE level.

Summary:
The total energy comes out at -0.2989 Ry per atom. Its total magnetization is 0.001 μB per formula unit. Its crystal system is tetragonal.

Structure (POSCAR):
```
ZnCuN2O
1.0
3.702 0.000 0.000
0.000 3.702 0.000
0.000 0.000 3.933
Zn Cu N O
1 1 2 1
direct
0.000 0.000 0.000
0.500 0.500 0.500
0.000 0.500 0.500
0.500 0.000 0.500
0.500 0.500 0.000
```

=====

Below is a relaxed CuOs2N crystal, with properties calculated at the PBE level.

Summary:
The total energy comes out at -0.5578 Ry per atom. Its total magnetization is 0.000 μB per formula unit. Its crystal system is tetragonal.

Structure (POSCAR):
```
CuOs2N
1.0
5.035 0.000 0.000
0.000 5.035 0.000
0.000 0.000 9.642
Cu Os N
4 8 4
direct
0.000 0.000 0.000
0.000 0.500 0.250
0.500 0.000 0.750
0.500 0.500 0.500
0.158 0.250 0.625
0.250 0.658 0.875
0.250 0.842 0.375
0.342 0.250 0.125
0.658 0.750 0.125
0.750 0.158 0.375
0.750 0.342 0.875
0.842 0.750 0.625
0.000 0.000 0.500
0.000 0.500 0.750
0.500 0.000 0.250
0.500 0.500 0.000
```

=====

Below is a relaxed CuOsN3 crystal, with properties calculated at the PBE level.

Summary:
The total energy comes out at -0.4200 Ry per atom. Its total magnetization is 0.000 μB per formula unit. Its crystal system is cubic.

Structure (POSCAR):
```
CuOsN3
1.0
3.656 0.000 0.000
0.000 3.656 0.000
0.000 0.000 3.656
Cu Os N
1 1 3
direct
0.000 0.000 0.000
0.500 0.500 0.500
0.000 0.000 0.500
0.000 0.500 0.000
0.500 0.000 0.000
```

=====

Below is a relaxed Cu3OsN crystal, with properties calculated at the PBE level.

Summary:
Its total magnetization is 0.003 μB per formula unit. The value obtained for the distance to the lowest polymorph of the same formula is 1757 meV per atom. Its crystal system is cubic.

Structure (POSCAR):
```
Cu3OsN
1.0
4.600 0.000 0.000
0.000 4.600 0.000
0.000 0.000 4.600
Cu Os N
3 1 1
direct
0.000 0.000 0.500
0.000 0.500 0.000
0.500 0.000 0.000
0.000 0.000 0.000
0.500 0.500 0.500
```

=====

Below is a relaxed Cu3OsN crystal, with properties calculated at the PBE level.

Summary:
Its total magnetization is 1.036 μB per formula unit. The value obtained for the distance to the lowest polymorph of the same formula is 0 meV per atom. Its crystal system is cubic.

Structure (POSCAR):
```
Cu3OsN
1.0
3.870 0.000 0.000
0.000 3.870 0.000
0.000 0.000 3.870
Cu Os N
3 1 1
direct
0.000 0.000 0.500
0.000 0.500 0.000
0.500 0.000 0.000
0.500 0.500 0.500
0.000 0.000 0.000
```

=====

Below is a relaxed CuOsN3 crystal, with properties calculated at the PBE level.

Summary:
The total energy comes out at -0.4991 Ry per atom. Its total magnetization is 0.000 μB per formula unit. Its crystal system is cubic.

Structure (POSCAR):
```
CuOsN3
1.0
3.840 0.000 0.000
0.000 3.840 0.000
0.000 0.000 3.840
Cu Os N
1 1 3
direct
0.000 0.000 0.000
0.500 0.500 0.500
0.000 0.500 0.500
0.500 0.000 0.500
0.500 0.500 0.000
```

=====

Below is a relaxed Pa2CuOsN5 crystal, with properties calculated at the PBE level.

Summary:
The total energy comes out at -0.6698 Ry per atom. Its total magnetization is 0.000 μB per formula unit. Its crystal system is orthorhombic.

Structure (POSCAR):
```
Pa2CuOsN5
1.0
1.684 -7.160 0.000
1.684 7.160 0.000
0.000 0.000 8.869
Pa Cu Os N
4 2 2 10
direct
0.125 0.875 0.500
0.128 0.872 0.048
0.872 0.128 0.548
0.875 0.125 0.000
0.490 0.510 0.274
0.510 0.490 0.774
0.228 0.772 0.773
0.772 0.228 0.273
0.086 0.914 0.783
0.280 0.720 0.418
0.285 0.715 0.132
0.371 0.629 0.742
0.487 0.513 0.021
0.513 0.487 0.521
0.629 0.371 0.242
0.715 0.285 0.632
0.720 0.280 0.918
0.914 0.086 0.283
```

=====

Below is a relaxed CuOsPdN2 crystal, with properties calculated at the PBE level.

Summary:
The total energy comes out at -0.3771 Ry per atom. Its total magnetization is 1.205 μB per formula unit. Its crystal system is tetragonal.

Structure (POSCAR):
```
CuOsPdN2
1.0
3.775 0.000 0.000
0.000 3.775 0.000
0.000 0.000 5.338
Cu Os Pd N
1 1 1 2
direct
0.000 0.000 0.000
0.500 0.500 0.000
0.500 0.500 0.500
0.000 0.500 0.500
0.500 0.000 0.500
```

=====

Below is a relaxed CuOsPtN2 crystal, with properties calculated at the PBE level.

Summary:
Its total magnetization is 1.796 μB per formula unit. The value obtained for the distance to the lowest polymorph of the same formula is 0 meV per atom. Its crystal system is tetragonal.

Structure (POSCAR):
```
CuOsPtN2
1.0
3.819 0.000 0.000
0.000 3.819 0.000
0.000 0.000 4.915
Cu Os Pt N
1 1 1 2
direct
0.000 0.000 0.000
0.500 0.500 0.000
0.000 0.000 0.500
0.000 0.500 0.500
0.500 0.000 0.500
```